Record 1
Sm2U2C3, optimized geometry, DFT PBE-GGA; ρ = 10.86 Mg/m³; VASP energy = -59.88 eV for the cell shown; space-group type = C2/m (12); magnetic moment = 0.9 μB per formula unit; D(E_F) = 8.9 states/eV per cell
1.0
3.3801 0.0000 -0.9079
-0.1989 6.9496 -0.7406
-0.3527 -0.4029 5.4329
Sm C U
2 3 2
Cartesian
2.5914 4.0913 2.9016 Sm
0.2371 2.4553 0.8828 Sm
0.4678 4.9040 1.7417 C
0.0000 0.0000 0.0000 C
2.3606 1.6427 2.0427 C
0.9193 0.1105 3.4224 U
1.9092 6.4361 0.3620 U

---

Record 2
Zr3Tc4, optimized geometry, DFT PBE-GGA; ρ = 8.95 Mg/m³; VASP energy = -67.77 eV for the cell shown; space-group type = I4/mmm (139); magnetic moment = 0.0 μB per formula unit; D(E_F) = 6.4 states/eV per cell
1.0
6.7314 -2.7896 9.6678
8.1906 1.4403 8.7978
-9.0787 1.5142 -7.8642
Zr Tc
3 4
Cartesian
4.3766 -0.3958 5.4160 Zr
0.0000 0.0000 0.0000 Zr
10.5454 -0.9536 13.0496 Zr
6.3880 -0.5776 7.9049 Tc
8.5340 -0.7717 10.5606 Tc
12.9402 -1.1701 16.0131 Tc
1.9818 -0.1792 2.4524 Tc

---

Record 3
CePd3Rh4O12, optimized geometry, DFT PBE-GGA; ρ = 7.89 Mg/m³; raw formation energy = -1919 kJ/mol of formula units; VASP energy = -130.31 eV for the cell shown; space-group type = Im-3 (204); magnetic moment = 0.0 μB per formula unit; D(E_F) = 12.8 states/eV per cell
1.0
-3.3467 -5.6793 0.6353
4.0054 0.7971 5.2134
-4.2674 5.0555 -0.2986
O Rh Pd Ce
12 4 3 1
Cartesian
-2.7926 3.7210 1.3693 O
0.0335 0.9044 2.4328 O
-3.6423 -0.7311 3.1174 O
-0.8162 -3.5476 4.1810 O
-2.5223 1.7177 3.7691 O
-1.3198 -0.6272 4.6243 O
-3.5348 -3.1325 1.1007 O
-5.4133 0.5445 1.0641 O
1.8045 -0.3712 4.4861 O
-2.2890 0.8005 0.9260 O
-0.0740 3.3059 4.4495 O
-1.0865 -1.5444 1.7811 O
-1.6734 -2.8396 0.3177 Rh
2.0027 0.3985 2.6067 Rh
-1.8044 0.0867 2.7751 Rh
-2.1337 2.5278 -0.1493 Rh
0.3293 -2.4411 2.9244 Pd
-3.8071 -0.3119 0.1684 Pd
-0.1310 2.9263 2.4574 Pd
0.0000 0.0000 0.0000 Ce

---

Please write out number 3 again, unchanged.
CePd3Rh4O12, optimized geometry, DFT PBE-GGA; ρ = 7.89 Mg/m³; raw formation energy = -1919 kJ/mol of formula units; VASP energy = -130.31 eV for the cell shown; space-group type = Im-3 (204); magnetic moment = 0.0 μB per formula unit; D(E_F) = 12.8 states/eV per cell
1.0
-3.3467 -5.6793 0.6353
4.0054 0.7971 5.2134
-4.2674 5.0555 -0.2986
O Rh Pd Ce
12 4 3 1
Cartesian
-2.7926 3.7210 1.3693 O
0.0335 0.9044 2.4328 O
-3.6423 -0.7311 3.1174 O
-0.8162 -3.5476 4.1810 O
-2.5223 1.7177 3.7691 O
-1.3198 -0.6272 4.6243 O
-3.5348 -3.1325 1.1007 O
-5.4133 0.5445 1.0641 O
1.8045 -0.3712 4.4861 O
-2.2890 0.8005 0.9260 O
-0.0740 3.3059 4.4495 O
-1.0865 -1.5444 1.7811 O
-1.6734 -2.8396 0.3177 Rh
2.0027 0.3985 2.6067 Rh
-1.8044 0.0867 2.7751 Rh
-2.1337 2.5278 -0.1493 Rh
0.3293 -2.4411 2.9244 Pd
-3.8071 -0.3119 0.1684 Pd
-0.1310 2.9263 2.4574 Pd
0.0000 0.0000 0.0000 Ce

---

Question: Look up the ρ of the second one.
Answer: 8.95 Mg/m³

---

Question: The highest VASP energy belongs to which entry?
Answer: Sm2U2C3

---

Question: What is the formula in the first record?
Answer: Sm2U2C3